# MgCrIn3, single point on PBEsol structure, DFT SCAN
data_MgCrIn3
_chemical_formula_sum 'Mg1 Cr1 In3'
_cell_length_a 5.276
_cell_length_b 5.276
_cell_length_c 5.276
_cell_angle_alpha 90.00
_cell_angle_beta 90.00
_cell_angle_gamma 90.00
_space_group_name_H-M_alt 'P m -3 m'
_space_group_IT_number 221
_space_group_name_Hall '-P 4 2 3'
loop_
_atom_site_label
_atom_site_type_symbol
_atom_site_fract_x
_atom_site_fract_y
_atom_site_fract_z
_atom_site_occupancy
Mg1 Mg 0.000 0.000 0.000 1
Cr1 Cr 0.500 0.500 0.500 1
In1 In 0.000 0.000 0.500 1
# **V**: 147 Å³ per cell
# **DFT total energy**: -24.037 eV per atom
# **Total magnetic moment**: 4.96 μB/cell
# **Formation energy**: 666 meV per atom
# **N(E_F)**: 2.411 states/eV per cell

# Pr9Sb5O5, single point on PBEsol structure, DFT SCAN
data_Pr9Sb5O5
_chemical_formula_sum 'Pr18 Sb10 O10'
_cell_length_a 10.202
_cell_length_b 10.202
_cell_length_c 9.185
_cell_angle_alpha 90.00
_cell_angle_beta 90.00
_cell_angle_gamma 90.00
_space_group_name_H-M_alt 'P 4/n'
_space_group_IT_number 85
loop_
_space_group_symop_operation_xyz
'x,y,z'
'-x,-y,-z'
'-y+1/2,x,z'
'y+1/2,-x,-z'
'-x+1/2,-y+1/2,z'
'x+1/2,y+1/2,-z'
'y,-x+1/2,z'
'-y,x+1/2,-z'
loop_
_atom_site_label
_atom_site_type_symbol
_atom_site_fract_x
_atom_site_fract_y
_atom_site_fract_z
_atom_site_occupancy
Pr1 Pr 0.024 0.331 0.001 1
Pr2 Pr 0.046 0.853 0.655 1
Pr3 Pr 0.250 0.250 0.668 1
Sb1 Sb 0.053 0.847 0.299 1
Sb2 Sb 0.250 0.250 0.313 1
O1 O 0.025 0.871 0.909 1
O2 O 0.250 0.250 0.933 1
# **V**: 956 Å³ per cell
# **DFT total energy**: -34.298 eV per atom
# **Raw formation energy**: -53.73 kcal/mol of atoms
# **Total magnetic moment**: 0.00 μB/cell
# **N(E_F)**: 9.433 states/eV per cell

# AlCrIr, single point on PBEsol structure, DFT SCAN
data_AlCrIr
_chemical_formula_sum 'Al2 Cr2 Ir2'
_cell_length_a 2.775
_cell_length_b 2.775
_cell_length_c 10.098
_cell_angle_alpha 90.00
_cell_angle_beta 90.00
_cell_angle_gamma 90.00
_space_group_name_H-M_alt 'I 4 m m'
_space_group_IT_number 107
_space_group_name_Hall 'I 4 -2'
loop_
_atom_site_label
_atom_site_type_symbol
_atom_site_fract_x
_atom_site_fract_y
_atom_site_fract_z
_atom_site_occupancy
Al1 Al 0.000 0.000 0.000 1
Cr1 Cr 0.000 0.000 0.667 1
Ir1 Ir 0.000 0.000 0.328 1
# **V**: 78 Å³ per cell
# **DFT total energy**: -32.923 eV per atom
# **Total magnetic moment**: 0.33 μB/cell
# **Formation energy**: -511 meV per atom
# **N(E_F)**: 2.616 states/eV per cell

# Sn3HgP, single point on PBEsol structure, DFT SCAN
data_Sn3HgP
_chemical_formula_sum 'Sn3 Hg1 P1'
_cell_length_a 5.372
_cell_length_b 5.372
_cell_length_c 5.372
_cell_angle_alpha 90.00
_cell_angle_beta 90.00
_cell_angle_gamma 90.00
_space_group_name_H-M_alt 'P m -3 m'
_space_group_IT_number 221
_space_group_name_Hall '-P 4 2 3'
loop_
_atom_site_label
_atom_site_type_symbol
_atom_site_fract_x
_atom_site_fract_y
_atom_site_fract_z
_atom_site_occupancy
Sn1 Sn 0.000 0.000 0.500 1
Hg1 Hg 0.000 0.000 0.000 1
P1 P 0.500 0.500 0.500 1
# **V**: 155 Å³ per cell
# **DFT total energy**: -36.296 eV per atom
# **Total magnetic moment**: 0.00 μB/cell
# **Formation energy**: 969 meV per atom
# **N(E_F)**: 1.562 states/eV per cell